PBE-GGA SrBr2O, optimized geometry; DOS at the Fermi energy = 2.028 states/eV/atom; energy relative to the lowest polymorph listed for this composition = 314 meV/atom; magnetic moment = 2.00 Bohr magnetons per cell; crystal system = cubic; energy relative to the elements, uncorrected = -3.500 eV/f.u.; energy = -3.3714 eV/atom
1.0
0.000 3.711 3.711
3.711 0.000 3.711
3.711 3.711 0.000
Sr Br O
1 2 1
direct
0.000 0.000 0.000
0.250 0.250 0.250
0.750 0.750 0.750
0.500 0.500 0.500

PBE-GGA Sr4Br6O, optimized geometry; DOS at the Fermi energy = 0.000 states/eV/atom; energy relative to the lowest polymorph listed for this composition = 83 meV/atom; magnetic moment = 0.00 Bohr magnetons per cell; crystal system = tetragonal; energy relative to the elements, uncorrected = -24.147 eV/f.u.; energy = -4.1700 eV/atom
1.0
9.752 0.000 0.000
0.000 9.752 0.000
0.000 0.000 7.325
Sr Br O
8 12 2
direct
0.020 0.750 0.095
0.250 0.520 0.405
0.250 0.980 0.405
0.480 0.750 0.095
0.520 0.250 0.905
0.750 0.020 0.595
0.750 0.480 0.595
0.980 0.250 0.905
0.046 0.546 0.750
0.046 0.954 0.750
0.250 0.250 0.125
0.250 0.250 0.625
0.454 0.546 0.750
0.454 0.954 0.750
0.546 0.046 0.250
0.546 0.454 0.250
0.750 0.750 0.375
0.750 0.750 0.875
0.954 0.046 0.250
0.954 0.454 0.250
0.250 0.750 0.250
0.750 0.250 0.750

PBE-GGA SrBr2O2, optimized geometry; DOS at the Fermi energy = 0.004 states/eV/atom; energy relative to the lowest polymorph listed for this composition = 298 meV/atom; magnetic moment = 0.00 Bohr magnetons per cell; crystal system = tetragonal; energy relative to the elements, uncorrected = -4.805 eV/f.u.; energy = -3.9498 eV/atom
1.0
7.221 0.000 0.000
0.000 7.221 0.000
0.000 0.000 4.137
Sr Br O
2 4 4
direct
0.000 0.000 0.000
0.500 0.500 0.000
0.180 0.320 0.500
0.320 0.820 0.500
0.680 0.180 0.500
0.820 0.680 0.500
0.232 0.268 0.000
0.268 0.768 0.000
0.732 0.232 0.000
0.768 0.732 0.000

PBE-GGA SrBr2O, optimized geometry; DOS at the Fermi energy = 0.404 states/eV/atom; energy relative to the lowest polymorph listed for this composition = 414 meV/atom; magnetic moment = 4.00 Bohr magnetons per cell; crystal system = tetragonal; energy relative to the elements, uncorrected = -3.100 eV/f.u.; energy = -3.2714 eV/atom
1.0
-2.656 2.656 8.939
2.656 -2.656 8.939
2.656 2.656 -8.939
Sr Br O
2 4 2
direct
0.000 0.000 0.000
0.750 0.250 0.500
0.150 0.625 0.025
0.375 0.400 0.525
0.600 0.125 0.975
0.875 0.850 0.475
0.250 0.750 0.500
0.500 0.500 0.000